Material: Fe2Cl4O
Method: DFT, GGA+U
State: optimized geometry

extended XYZ file:
```
7
Lattice="-2.214 2.214 6.809 2.214 -2.214 6.809 2.214 2.214 -6.809" Properties=species:S:1:pos:R:3 pbc="T T T"
Fe 0.000 0.000 1.715
Fe 0.000 0.000 11.903
Cl 2.214 0.000 0.000
Cl 0.000 0.000 3.985
Cl 0.000 2.214 0.000
Cl 0.000 0.000 9.633
O 0.000 0.000 6.809
```

Results
E_tot = -3.218 eV per atom
DOS at the Fermi energy = 6.77 states/eV/cell
space-group type = I4/mmm, No. 139